# Fe2CoOs

Crystalline Fe2CoOs at its relaxed geometry (PBE, Alexandria via LeMat-Bulk).

Cell: 8.387 8.387 8.387 Å, 18.03 18.03 18.03°
Each line ends with the local moment (μB).
Positions (direct):
Fe  0.496  0.496  0.496  2.28
Fe  0.004  0.004  0.004  2.28
Co  0.750  0.750  0.750  1.62
Os  0.250  0.250  0.250  -0.09

The space group is R-3m. The formation energy comes out at 0.15 eV/atom. The total magnetic moment comes out at 1.513 μB/atom. As for the volume: 49.4 Å³ per cell.